Density functional theory data (PBE) for crystalline AcErRu2 at its relaxed geometry.

Cell lengths 3.526, 3.526, 7.029 Å; angles 90.00, 90.00, 90.00 degrees
Fractional coordinates of all 4 atoms:
Ac  0.000  0.000  0.000
Er  0.000  0.000  0.500
Ru  0.500  0.500  0.267
Ru  0.500  0.500  0.733

Values from the calculation:
formation enthalpy at 0 K: -0.09 eV per atom
offset from the most stable computed form: 15.5 meV/atom
V: 21.85 A^3/atom



Density functional theory data (PBE) for crystalline CdCoCl4 at its relaxed geometry.

Cell lengths 7.334, 7.334, 6.553 Å; angles 115.86, 115.86, 29.37 degrees
Fractional coordinates of all 6 atoms:
Cd  0.000  0.000  0.000
Co  0.500  0.500  0.500
Cl  0.105  0.105  0.750
Cl  0.390  0.390  0.700
Cl  0.610  0.610  0.300
Cl  0.895  0.895  0.250

Values from the calculation:
offset from the most stable computed form: 0.0 meV/atom
formation energy without anion corrections: -0.790 eV/atom
V: 25.72 A^3/atom



Density functional theory data (PBE) for crystalline Ce3Co5Te12 at its relaxed geometry.

Cell lengths 14.174, 14.174, 14.174 Å; angles 109.47, 109.47, 109.47 degrees
Fractional coordinates of all 80 atoms:
Ce  0.125  0.250  0.375
Ce  0.125  0.375  0.750
Ce  0.250  0.375  0.125
Ce  0.250  0.875  0.625
Ce  0.375  0.125  0.250
Ce  0.375  0.750  0.125
Ce  0.625  0.250  0.875
Ce  0.625  0.875  0.750
Ce  0.750  0.125  0.375
Ce  0.750  0.625  0.875
Ce  0.875  0.625  0.250
Ce  0.875  0.750  0.625
Co  0.000  0.000  0.000
Co  0.000  0.000  0.500
Co  0.000  0.500  0.000
Co  0.000  0.500  0.500
Co  0.125  0.750  0.875
Co  0.125  0.875  0.250
Co  0.250  0.125  0.875
Co  0.250  0.625  0.375
Co  0.375  0.250  0.625
Co  0.375  0.625  0.750
Co  0.500  0.000  0.000
Co  0.500  0.000  0.500
Co  0.500  0.500  0.000
Co  0.500  0.500  0.500
Co  0.625  0.375  0.250
Co  0.625  0.750  0.375
Co  0.750  0.375  0.625
Co  0.750  0.875  0.125
Co  0.875  0.125  0.750
Co  0.875  0.250  0.125
Te  0.024  0.201  0.112
Te  0.024  0.323  0.912
Te  0.088  0.612  0.411
Te  0.088  0.976  0.677
Te  0.089  0.701  0.677
Te  0.089  0.888  0.412
Te  0.112  0.024  0.201
Te  0.112  0.588  0.911
Te  0.177  0.201  0.589
Te  0.177  0.476  0.588
Te  0.201  0.112  0.024
Te  0.201  0.589  0.177
Te  0.299  0.323  0.911
Te  0.299  0.476  0.388
Te  0.323  0.911  0.299
Te  0.323  0.912  0.024
Te  0.388  0.299  0.476
Te  0.388  0.589  0.912
Te  0.411  0.088  0.612
Te  0.411  0.823  0.799
Te  0.412  0.089  0.888
Te  0.412  0.823  0.524
Te  0.476  0.388  0.299
Te  0.476  0.588  0.177
Te  0.524  0.412  0.823
Te  0.524  0.612  0.701
Te  0.588  0.177  0.476
Te  0.588  0.911  0.112
Te  0.589  0.177  0.201
Te  0.589  0.912  0.388
Te  0.612  0.411  0.088
Te  0.612  0.701  0.524
Te  0.677  0.088  0.976
Te  0.677  0.089  0.701
Te  0.701  0.524  0.612
Te  0.701  0.677  0.089
Te  0.799  0.411  0.823
Te  0.799  0.888  0.976
Te  0.823  0.524  0.412
Te  0.823  0.799  0.411
Te  0.888  0.412  0.089
Te  0.888  0.976  0.799
Te  0.911  0.112  0.588
Te  0.911  0.299  0.323
Te  0.912  0.024  0.323
Te  0.912  0.388  0.589
Te  0.976  0.677  0.088
Te  0.976  0.799  0.888

Values from the calculation:
formation energy without anion corrections: -0.450 eV/atom
V: 27.40 A^3/atom



Density functional theory data (PBE) for crystalline In3GaIr at its relaxed geometry.

Cell lengths 5.175, 5.175, 5.175 Å; angles 90.00, 90.00, 90.00 degrees
Fractional coordinates of all 5 atoms:
In  0.000  0.000  0.500
In  0.000  0.500  0.000
In  0.500  0.000  0.000
Ga  0.500  0.500  0.500
Ir  0.000  0.000  0.000

Values from the calculation:
formation enthalpy at 0 K: 0.05 eV per atom
offset from the most stable computed form: 121.0 meV/atom
V: 27.71 A^3/atom



Density functional theory data (PBE) for crystalline Ta2AlGeS at its relaxed geometry.

Cell lengths 4.886, 4.886, 4.495 Å; angles 90.00, 90.00, 90.00 degrees
Fractional coordinates of all 5 atoms:
Ta  0.000  0.500  0.000
Ta  0.500  0.000  0.000
Al  0.000  0.000  0.500
Ge  0.500  0.500  0.000
S  0.500  0.500  0.500

Values from the calculation:
formation energy without anion corrections: 1.207 eV/atom
V: 21.47 A^3/atom



Density functional theory data (PBE) for crystalline MnCd2In at its relaxed geometry.

Cell lengths 5.140, 5.140, 5.437 Å; angles 100.12, 100.12, 36.44 degrees
Fractional coordinates of all 4 atoms:
Mn  0.000  0.000  0.000
Cd  0.259  0.259  0.755
Cd  0.504  0.504  0.512
In  0.745  0.745  0.226

Values from the calculation:
formation enthalpy at 0 K: 0.22 eV per atom
V: 20.97 A^3/atom



Density functional theory data (PBE) for crystalline Ho4Tm5In2 at its relaxed geometry.

Cell lengths 12.277, 12.277, 7.980 Å; angles 92.07, 92.07, 16.17 degrees
Fractional coordinates of all 11 atoms:
Ho  0.047  0.047  0.168
Ho  0.089  0.089  0.761
Ho  0.911  0.911  0.239
Ho  0.953  0.953  0.832
Tm  0.178  0.178  0.417
Tm  0.223  0.223  0.824
Tm  0.500  0.500  0.500
Tm  0.777  0.777  0.176
Tm  0.822  0.822  0.583
In  0.347  0.347  0.924
In  0.653  0.653  0.076

Values from the calculation:
formation enthalpy at 0 K: 0.05 eV per atom
V: 30.42 A^3/atom



Density functional theory data (PBE) for crystalline Hf2CrB at its relaxed geometry.

Cell lengths 6.322, 6.322, 6.322 Å; angles 95.53, 95.53, 143.83 degrees
Fractional coordinates of all 8 atoms:
Hf  0.375  0.227  0.352
Hf  0.773  0.125  0.148
Hf  0.875  0.023  0.648
Hf  0.977  0.625  0.852
Cr  0.250  0.750  0.500
Cr  0.500  0.500  0.000
B  0.000  0.000  0.000
B  0.750  0.250  0.500

Values from the calculation:
formation enthalpy at 0 K: 0.26 eV per atom
offset from the most stable computed form: 30.6 meV/atom
V: 17.72 A^3/atom



Density functional theory data (PBE) for crystalline Ge2Pb2Cl at its relaxed geometry.

Cell lengths 8.674, 8.674, 3.589 Å; angles 90.00, 90.00, 90.00 degrees
Fractional coordinates of all 10 atoms:
Ge  0.107  0.393  0.000
Ge  0.393  0.893  0.000
Ge  0.607  0.107  0.000
Ge  0.893  0.607  0.000
Pb  0.187  0.687  0.500
Pb  0.313  0.187  0.500
Pb  0.687  0.813  0.500
Pb  0.813  0.313  0.500
Cl  0.000  0.000  0.500
Cl  0.500  0.500  0.500

Values from the calculation:
offset from the most stable computed form: 209.4 meV/atom
formation energy without anion corrections: 0.017 eV/atom
V: 27.00 A^3/atom



Density functional theory data (PBE) for crystalline Pa2HBr5 at its relaxed geometry.

Cell lengths 7.581, 7.581, 19.631 Å; angles 90.00, 90.00, 152.82 degrees
Fractional coordinates of all 16 atoms:
Pa  0.239  0.761  0.669
Pa  0.239  0.761  0.831
Pa  0.761  0.239  0.169
Pa  0.761  0.239  0.331
H  0.224  0.776  0.250
H  0.776  0.224  0.750
Br  0.113  0.887  0.131
Br  0.113  0.887  0.369
Br  0.347  0.653  0.070
Br  0.347  0.653  0.430
Br  0.400  0.600  0.250
Br  0.600  0.400  0.750
Br  0.653  0.347  0.570
Br  0.653  0.347  0.930
Br  0.887  0.113  0.631
Br  0.887  0.113  0.869

Values from the calculation:
total energy: -78.60 eV for the cell shown
V: 32.21 A^3/atom



Density functional theory data (PBE) for crystalline MgMnMoH at its relaxed geometry.

Cell lengths 5.451, 5.451, 5.451 Å; angles 149.34, 136.98, 53.75 degrees
Fractional coordinates of all 4 atoms:
Mg  0.000  0.000  0.000
Mn  0.242  0.742  0.500
Mo  0.742  0.242  0.500
H  0.345  0.345  0.000

Values from the calculation:
offset from the most stable computed form: 316.8 meV/atom
V: 14.01 A^3/atom



Density functional theory data (PBE) for crystalline HoBiTe2 at its relaxed geometry.

Cell lengths 10.095, 10.095, 10.095 Å; angles 23.95, 23.95, 23.95 degrees
Fractional coordinates of all 4 atoms:
Ho  0.000  0.000  0.000
Bi  0.500  0.500  0.500
Te  0.396  0.396  0.396
Te  0.604  0.604  0.604

Values from the calculation:
formation energy without anion corrections: -0.712 eV/atom
V: 37.22 A^3/atom



Density functional theory data (PBE) for crystalline InPS at its relaxed geometry.

Cell lengths 4.290, 6.102, 6.297 Å; angles 112.42, 94.17, 104.57 degrees
Fractional coordinates of all 6 atoms:
In  0.000  0.000  0.000
In  0.027  0.577  0.616
P  0.398  0.023  0.498
P  0.399  0.331  0.387
S  0.580  0.804  0.219
S  0.758  0.254  0.813

Values from the calculation:
formation energy without anion corrections: -0.161 eV/atom
V: 24.14 A^3/atom



Density functional theory data (PBE) for crystalline Pm4SN3 at its relaxed geometry.

Cell lengths 6.461, 6.461, 3.700 Å; angles 90.00, 90.00, 109.18 degrees
Fractional coordinates of all 8 atoms:
Pm  0.228  0.228  0.500
Pm  0.240  0.760  0.000
Pm  0.760  0.240  0.000
Pm  0.772  0.772  0.500
S  0.500  0.500  0.000
N  0.000  0.000  0.000
N  0.000  0.500  0.500
N  0.500  0.000  0.500

Values from the calculation:
formation energy without anion corrections: -1.546 eV/atom
V: 18.24 A^3/atom



Density functional theory data (PBE) for crystalline TbPrMgSi at its relaxed geometry.

Cell lengths 5.198, 5.198, 5.198 Å; angles 60.00, 60.00, 60.00 degrees
Fractional coordinates of all 4 atoms:
Tb  0.000  0.000  0.000
Pr  0.500  0.500  0.500
Mg  0.250  0.250  0.250
Si  0.750  0.750  0.750

Values from the calculation:
formation energy without anion corrections: -0.276 eV/atom
V: 24.83 A^3/atom



Density functional theory data (PBE) for crystalline Zn3TeSe at its relaxed geometry.

Cell lengths 5.209, 5.209, 5.209 Å; angles 90.00, 90.00, 90.00 degrees
Fractional coordinates of all 5 atoms:
Zn  0.000  0.000  0.500
Zn  0.000  0.500  0.000
Zn  0.500  0.000  0.000
Te  0.000  0.000  0.000
Se  0.500  0.500  0.500

Values from the calculation:
offset from the most stable computed form: 269.6 meV/atom
formation energy without anion corrections: 0.399 eV/atom
V: 28.26 A^3/atom



Density functional theory data (PBE) for crystalline Be2InP at its relaxed geometry.

Cell lengths 2.979, 2.979, 7.523 Å; angles 90.00, 90.00, 99.25 degrees
Fractional coordinates of all 4 atoms:
Be  0.000  0.000  0.000
Be  0.500  0.500  0.147
In  0.000  0.000  0.410
P  0.500  0.500  0.859

Values from the calculation:
formation enthalpy at 0 K: 0.37 eV per atom
offset from the most stable computed form: 224.0 meV/atom
V: 16.48 A^3/atom



Density functional theory data (PBE) for crystalline BeSb2Rh at its relaxed geometry.

Cell lengths 3.179, 3.263, 7.420 Å; angles 90.00, 101.85, 90.00 degrees
Fractional coordinates of all 4 atoms:
Be  0.000  0.000  0.000
Sb  0.383  0.500  0.260
Sb  0.617  0.500  0.740
Rh  0.000  0.000  0.500

Values from the calculation:
formation energy without anion corrections: 0.200 eV/atom
V: 18.83 A^3/atom



Density functional theory data (PBE) for crystalline CeGa4Ru4 at its relaxed geometry.

Cell lengths 8.244, 8.244, 4.679 Å; angles 90.00, 90.00, 90.00 degrees
Fractional coordinates of all 18 atoms:
Ce  0.250  0.250  0.250
Ce  0.750  0.750  0.750
Ga  0.023  0.896  0.196
Ga  0.104  0.523  0.696
Ga  0.396  0.977  0.696
Ga  0.477  0.604  0.196
Ga  0.523  0.396  0.804
Ga  0.604  0.023  0.304
Ga  0.896  0.477  0.304
Ga  0.977  0.104  0.804
Ru  0.125  0.849  0.685
Ru  0.151  0.625  0.185
Ru  0.349  0.875  0.185
Ru  0.375  0.651  0.685
Ru  0.625  0.349  0.315
Ru  0.651  0.125  0.815
Ru  0.849  0.375  0.815
Ru  0.875  0.151  0.315

Values from the calculation:
formation enthalpy at 0 K: -0.25 eV per atom
V: 17.67 A^3/atom



Density functional theory data (PBE) for crystalline BaEu2Au at its relaxed geometry.

Cell lengths 10.710, 10.710, 10.710 Å; angles 23.80, 23.80, 23.80 degrees
Fractional coordinates of all 4 atoms:
Ba  0.000  0.000  0.000
Eu  0.221  0.221  0.221
Eu  0.779  0.779  0.779
Au  0.500  0.500  0.500

Values from the calculation:
formation enthalpy at 0 K: -0.36 eV per atom
offset from the most stable computed form: 22.3 meV/atom
V: 43.93 A^3/atom



Density functional theory data (PBE) for crystalline Nb3ZnRe at its relaxed geometry.

Cell lengths 4.861, 4.861, 4.861 Å; angles 90.00, 90.00, 90.00 degrees
Fractional coordinates of all 5 atoms:
Nb  0.000  0.000  0.500
Nb  0.000  0.500  0.000
Nb  0.500  0.000  0.000
Zn  0.500  0.500  0.500
Re  0.000  0.000  0.000

Values from the calculation:
formation enthalpy at 0 K: 1.15 eV per atom
offset from the most stable computed form: 0.0 meV/atom
V: 22.98 A^3/atom



Density functional theory data (PBE) for crystalline Mn6V5Ge at its relaxed geometry.

Cell lengths 6.427, 6.427, 5.757 Å; angles 90.00, 90.00, 143.13 degrees
Fractional coordinates of all 12 atoms:
Mn  0.000  0.000  0.243
Mn  0.000  0.000  0.757
Mn  0.331  0.669  0.248
Mn  0.331  0.669  0.752
Mn  0.669  0.331  0.248
Mn  0.669  0.331  0.752
V  0.164  0.836  0.500
V  0.167  0.833  0.000
V  0.500  0.500  0.000
V  0.833  0.167  0.000
V  0.836  0.164  0.500
Ge  0.500  0.500  0.500

Values from the calculation:
formation enthalpy at 0 K: -0.27 eV per atom
V: 11.89 A^3/atom